Record 1
PuBiN | the Alexandria database | PBE | relaxed; M_tot = 9.1 μB/cell; polymorph energy (0 for the lowest one) = 1.625 eV/f.u.; VASP energy = -27.361 eV/f.u.; space group = I4/mmm
1.0
-1.9458 1.9458 8.4032
1.9458 -1.9458 8.4032
1.9458 1.9458 -8.4032
Pu Bi N
2 2 2
Direct
0.0796 0.0796 0.0000 Pu
0.9204 0.9204 0.0000 Pu
0.2989 0.2989 0.0000 Bi
0.7011 0.7011 0.0000 Bi
0.0000 0.5000 0.5000 N
0.5000 0.0000 0.5000 N

=====

Record 2
Pu2BiN | the Alexandria database | PBE | relaxed; M_tot = 20.0 μB/cell; polymorph energy (0 for the lowest one) = 1.497 eV/f.u.; VASP energy = -42.377 eV/f.u.; space group = Cmmm
1.0
3.6484 -5.2857 0.0000
3.6484 5.2857 0.0000
0.0000 0.0000 4.9816
Pu Bi N
4 2 2
Direct
0.0000 0.0000 0.0000 Pu
0.0000 0.5000 0.0000 Pu
0.5000 0.0000 0.0000 Pu
0.5000 0.5000 0.5000 Pu
0.1885 0.8115 0.5000 Bi
0.8115 0.1885 0.5000 Bi
0.2721 0.2721 0.0000 N
0.7279 0.7279 0.0000 N

=====

Record 3
PuBiSbN | the Alexandria database | PBE | relaxed; M_tot = 4.8 μB/cell; VASP energy = -32.185 eV/f.u.; space group = I4mm
1.0
-1.6362 1.6362 8.7197
1.6362 -1.6362 8.7197
1.6362 1.6362 -8.7197
Pu Bi Sb N
1 1 1 1
Direct
0.0000 0.0000 0.0000 Pu
0.3307 0.3307 0.0000 Bi
0.6528 0.6528 0.0000 Sb
0.4670 0.4670 0.0000 N

=====

Record 4
Pu4BiSbN | the Alexandria database | PBE | relaxed; M_tot = 22.0 μB/cell; VASP energy = -78.142 eV/f.u.; space group = Cmcm
1.0
3.3525 -8.1891 0.0000
3.3525 8.1891 0.0000
0.0000 0.0000 6.6822
Pu Bi Sb N
8 2 2 2
Direct
0.0000 0.5000 0.0000 Pu
0.0000 0.5000 0.5000 Pu
0.0894 0.9106 0.7500 Pu
0.4026 0.5974 0.7500 Pu
0.5000 0.0000 0.0000 Pu
0.5000 0.0000 0.5000 Pu
0.5974 0.4026 0.2500 Pu
0.9106 0.0894 0.2500 Pu
0.3964 0.6036 0.2500 Bi
0.6036 0.3964 0.7500 Bi
0.1089 0.8911 0.2500 Sb
0.8911 0.1089 0.7500 Sb
0.2516 0.7484 0.7500 N
0.7484 0.2516 0.2500 N

=====

Record 5
PuBiSe2N | the Alexandria database | PBE | relaxed; M_tot = 8.0 μB/cell; VASP energy = -37.641 eV/f.u.; space group = P4/nmm
1.0
3.9839 0.0000 0.0000
0.0000 3.9839 0.0000
0.0000 0.0000 15.1012
Pu Bi Se N
2 2 4 2
Direct
0.2500 0.2500 0.0723 Pu
0.7500 0.7500 0.9277 Pu
0.2500 0.2500 0.6442 Bi
0.7500 0.7500 0.3558 Bi
0.2500 0.2500 0.4047 Se
0.2500 0.2500 0.8244 Se
0.7500 0.7500 0.1756 Se
0.7500 0.7500 0.5953 Se
0.2500 0.7500 0.0000 N
0.7500 0.2500 0.0000 N

=====

Record 6
Sm2Pu4Bi3N2 | the Alexandria database | PBE | relaxed; M_tot = 22.7 μB/cell; VASP energy = -104.134 eV/f.u.; space group = I4/mmm
1.0
-2.3310 2.3310 13.4090
2.3310 -2.3310 13.4090
2.3310 2.3310 -13.4090
Sm Pu Bi N
2 4 3 2
Direct
0.1941 0.1941 0.0000 Sm
0.8059 0.8059 0.0000 Sm
0.0863 0.5863 0.5000 Pu
0.4137 0.9137 0.5000 Pu
0.5863 0.0863 0.5000 Pu
0.9137 0.4137 0.5000 Pu
0.3187 0.3187 0.0000 Bi
0.5000 0.5000 0.0000 Bi
0.6813 0.6813 0.0000 Bi
0.1061 0.1061 0.0000 N
0.8939 0.8939 0.0000 N

=====

Please write out number 1 again, unchanged.
PuBiN | the Alexandria database | PBE | relaxed; M_tot = 9.1 μB/cell; polymorph energy (0 for the lowest one) = 1.625 eV/f.u.; VASP energy = -27.361 eV/f.u.; space group = I4/mmm
1.0
-1.9458 1.9458 8.4032
1.9458 -1.9458 8.4032
1.9458 1.9458 -8.4032
Pu Bi N
2 2 2
Direct
0.0796 0.0796 0.0000 Pu
0.9204 0.9204 0.0000 Pu
0.2989 0.2989 0.0000 Bi
0.7011 0.7011 0.0000 Bi
0.0000 0.5000 0.5000 N
0.5000 0.0000 0.5000 N

=====

The highest VASP energy belongs to which entry? PuBiN

=====

Which of these has the highest M_tot? Sm2Pu4Bi3N2

=====

Which formula does entry 6 have? Sm2Pu4Bi3N2